# 1
# Th4OsC2S

A geometry-optimized Th4OsC2S structure (PBE, Alexandria).

Properties
**VASP energy**: -68.6 eV per cell
**Formation energy without anion corrections**: -0.6376 eV/atom

Cell: 6.8350 3.8781 6.9281 Å, 90.00 108.06 90.00°
Space group P2/m (No. 10)
Asymmetric unit:
Th 0.2315 0.0000 0.2233 (multiplicity 2)
Th 0.2530 0.5000 0.7789 (multiplicity 2)
Os 0.0000 0.0000 0.5000 (multiplicity 1)
C 0.0000 0.5000 0.0000 (multiplicity 1)
C 0.5000 0.0000 0.0000 (multiplicity 1)
S 0.5000 0.5000 0.5000 (multiplicity 1)



# 2
# Pr3NiSn2

A geometry-optimized Pr3NiSn2 structure (PBE, Alexandria).

Properties
**VASP energy**: -127.9 eV per cell
**E_form**: -14.8 kcal/mol of atoms

Cell: 12.5442 4.5078 12.1760 Å, 90.00 90.00 90.00°
Space group Pnma (No. 62)
Asymmetric unit:
Pr 0.0556 0.2500 0.1275 (multiplicity 4)
Pr 0.1195 0.7500 0.5533 (multiplicity 4)
Pr 0.2267 0.2500 0.7979 (multiplicity 4)
Ni 0.1275 0.2500 0.3661 (multiplicity 4)
Sn 0.0148 0.7500 0.3111 (multiplicity 4)
Sn 0.1945 0.7500 0.9954 (multiplicity 4)